The following is a GGA-PBE calculation of a geometry-optimized AcScSbPd structure, from Alexandria via LeMat-Bulk.

Unit cell a=5.2973 b=5.2973 c=5.2973 alpha=60.00 beta=60.00 gamma=60.00
Closest atoms and distances in Å follow each position.
Atoms (fractional coordinates):
Ac  0.0000  0.0000  0.0000  4 Pd 3.24, 4 Sb 3.24
Sc  0.5000  0.5000  0.5000  4 Sb 3.24, 4 Pd 3.24
Sb  0.2500  0.2500  0.2500  4 Sc 3.24, 4 Ac 3.24
Pd  0.7500  0.7500  0.7500  4 Sc 3.24, 4 Ac 3.24

density of states at the Fermi level: 1.20 states/eV per atom
uncorrected formation energy: -607 meV per atom

The following is a GGA-PBE calculation of a geometry-optimized AcScSb2Pd2 structure, from Alexandria via LeMat-Bulk.

Unit cell a=4.6107 b=4.6107 c=7.7305 alpha=90.00 beta=90.00 gamma=120.00
Closest atoms and distances in Å follow each position.
Atoms (fractional coordinates):
Ac  0.0000  0.0000  0.0000  6 Sb 3.38, 6 Pd 3.76
Sc  0.0000  0.0000  0.5000  6 Pd 2.92, 6 Sb 3.20
Sb  0.3333  0.6667  0.2703  4 Pd 2.72-2.99
Sb  0.6667  0.3333  0.7297  4 Pd 2.72-2.99
Pd  0.3333  0.6667  0.6567  4 Sb 2.72-2.99, 3 Sc 2.92
Pd  0.6667  0.3333  0.3433  4 Sb 2.72-2.99, 3 Sc 2.92

density of states at the Fermi level: 0.24 states/eV per atom
uncorrected formation energy: -1021 meV per atom